The following is a PBE calculation of a relaxed structure of Sr2CdSbH, from Alexandria via LeMat-Bulk.

Values from the calculation:
- mass density (g cm⁻³) = 5.23
- DOS at the Fermi energy (states/eV/f.u.) = 0.832
- symmetry = P4/mmm (123)
- calculated total energy (eV per cell) = -14.49
- volume (Å³/atom) = 26.05

Unit cell a=5.3070 b=5.3070 c=4.6250 alpha=90.00 beta=90.00 gamma=90.00
Element x y z (fractional)
Sr 0.0000 0.5000 0.0000
Sr 0.5000 0.0000 0.0000
Cd 0.0000 0.0000 0.5000
Sb 0.5000 0.5000 0.5000
H 0.0000 0.0000 0.0000